# 1
The following is a meta-GGA SCAN calculation of TaCd2Co at its PBEsol-relaxed geometry, from Alexandria.

Cell and atoms, written as extended XYZ:
```
4
Lattice="2.864 0.000 0.000 1.432 2.481 0.000 1.432 0.827 9.446" Properties=species:S:1:pos:R:3 pbc="T T T"
Co 2.864 1.654 4.723
Cd 4.297 2.481 6.878
Cd 1.432 0.827 2.568
Ta 0.000 0.000 0.000
```

Results
The raw total energy is -35.832 eV/atom. The space group is No. 166. The magnetization comes out at 1.61 μB/f.u.

---

# 2
The following is a meta-GGA SCAN calculation of HfInCo3 at its PBEsol-relaxed geometry, from Alexandria.

Cell and atoms, written as extended XYZ:
```
5
Lattice="-0.443 4.410 0.192 -4.410 -0.452 0.192 0.210 -0.172 4.428" Properties=species:S:1:pos:R:3 pbc="T T T"
Co -2.205 -0.226 0.096
Co 0.105 -0.086 2.214
Co -0.222 2.205 0.096
In -2.321 1.894 2.406
Hf 0.000 0.000 0.000
```

Results
The raw total energy is -28.342 eV/atom. The space group is No. 221. The magnetization comes out at 2.32 μB/f.u.

---

# 3
The following is a meta-GGA SCAN calculation of ErRh5 at its PBEsol-relaxed geometry, from Alexandria.

Cell and atoms, written as extended XYZ:
```
6
Lattice="4.271 0.000 0.000 0.000 5.118 0.000 0.000 -2.559 4.433" Properties=species:S:1:pos:R:3 pbc="T T T"
Rh 2.135 1.280 2.216
Rh 2.135 2.559 0.000
Rh 0.000 2.559 1.478
Rh 0.000 0.000 2.955
Rh 2.135 -1.280 2.216
Er 0.000 0.000 0.000
```

Results
The raw total energy is -36.859 eV/atom. The space group is No. 191. The magnetization comes out at 0.00 μB/f.u.

---

# 4
The following is a meta-GGA SCAN calculation of Rh3CF at its PBEsol-relaxed geometry, from Alexandria.

Cell and atoms, written as extended XYZ:
```
5
Lattice="-1.883 1.062 -3.464 2.541 -2.396 -2.116 -2.583 -3.131 0.444" Properties=species:S:1:pos:R:3 pbc="T T T"
C -0.962 -2.232 -2.568
Rh -0.941 0.531 -1.732
Rh -1.292 -1.565 0.222
Rh 1.270 -1.198 -1.058
F 0.000 0.000 0.000
```

Results
The raw total energy is -21.009 eV/atom. The space group is No. 221. The magnetization comes out at 0.00 μB/f.u. As for the uncorrected formation energy: 1.981 eV/atom.

---

# 5
The following is a meta-GGA SCAN calculation of BaPbBr2 at its PBEsol-relaxed geometry, from Alexandria.

Cell and atoms, written as extended XYZ:
```
4
Lattice="3.774 0.000 0.000 0.000 3.774 0.000 0.000 0.000 9.622" Properties=species:S:1:pos:R:3 pbc="T T T"
Pb 1.887 1.887 0.000
Br 0.000 0.000 6.685
Br 0.000 0.000 2.937
Ba 1.887 1.887 4.811
```

Results
The raw total energy is -39.835 eV/atom. The space group is No. 123. The magnetization comes out at 0.35 μB/f.u. As for the uncorrected formation energy: -1.273 eV/atom.

---

# 6
The following is a meta-GGA SCAN calculation of AgPb2 at its PBEsol-relaxed geometry, from Alexandria.

Cell and atoms, written as extended XYZ:
```
3
Lattice="3.584 0.000 0.000 0.000 4.802 0.000 0.000 0.000 4.802" Properties=species:S:1:pos:R:3 pbc="T T T"
Pb 1.792 2.401 0.000
Pb 1.792 0.000 2.401
Ag 0.000 0.000 0.000
```

Results
The raw total energy is -60.788 eV/atom. The space group is No. 123. The magnetization comes out at 0.00 μB/f.u.

---

# 7
The following is a meta-GGA SCAN calculation of KCo2Sb at its PBEsol-relaxed geometry, from Alexandria.

Cell and atoms, written as extended XYZ:
```
4
Lattice="-1.009 1.370 2.379 -2.446 -4.519 1.564 5.895 0.204 0.586" Properties=species:S:1:pos:R:3 pbc="T T T"
K -1.717 -1.578 1.978
Sb 1.266 -3.078 2.310
Co 1.030 0.180 2.131
Co 0.133 -0.044 0.081
```

Results
The raw total energy is -19.518 eV/atom. The space group is No. 44. The magnetization comes out at 3.86 μB/f.u. As for the uncorrected formation energy: 0.532 eV/atom.

---

# 8
The following is a meta-GGA SCAN calculation of NdSbPd at its PBEsol-relaxed geometry, from Alexandria.

Cell and atoms, written as extended XYZ:
```
12
Lattice="-2.397 -2.852 -2.571 4.513 -0.324 0.136 -1.093 -10.099 12.223" Properties=species:S:1:pos:R:3 pbc="T T T"
Nd -0.820 -7.574 9.167
Nd -0.273 -2.525 3.056
Nd -0.547 -5.050 6.112
Nd 0.000 0.000 0.000
Pd 1.813 -4.825 3.662
Pd 2.059 -2.557 0.917
Pd -0.791 -8.450 6.127
Pd -1.037 -10.718 8.872
Sb -0.223 -3.205 -0.220
Sb 1.246 -10.069 10.009
Sb 1.533 -7.412 6.793
Sb -0.511 -5.862 2.995
```

Results
The raw total energy is -39.080 eV/atom. The space group is No. 194. The magnetization comes out at 0.00 μB/f.u. As for the uncorrected formation energy: -1.208 eV/atom.

---

# 9
The following is a meta-GGA SCAN calculation of BaCa2HfZn at its PBEsol-relaxed geometry, from Alexandria.

Cell and atoms, written as extended XYZ:
```
5
Lattice="5.595 0.000 0.000 0.000 5.595 0.000 0.000 0.000 5.875" Properties=species:S:1:pos:R:3 pbc="T T T"
Ca 2.797 0.000 0.000
Ca 0.000 2.797 0.000
Zn 0.000 0.000 0.000
Hf 2.797 2.797 2.938
Ba 0.000 0.000 2.938
```

Results
The raw total energy is -26.312 eV/atom. The space group is No. 123. The magnetization comes out at 2.88 μB/f.u.

---

# 10
The following is a meta-GGA SCAN calculation of ScIrRh2 at its PBEsol-relaxed geometry, from Alexandria.

Cell and atoms, written as extended XYZ:
```
4
Lattice="-0.244 2.703 0.720 -1.528 -1.260 4.213 4.635 0.349 0.262" Properties=species:S:1:pos:R:3 pbc="T T T"
Rh -0.764 -0.630 2.107
Rh 2.318 0.175 0.131
Sc -0.122 1.351 0.360
Ir 1.431 0.896 2.598
```

Results
The raw total energy is -38.829 eV/atom. The space group is No. 65. The magnetization comes out at 0.00 μB/f.u.

---

# 11
The following is a meta-GGA SCAN calculation of LiSbPb2 at its PBEsol-relaxed geometry, from Alexandria.

Cell and atoms, written as extended XYZ:
```
4
Lattice="4.864 0.000 0.000 0.000 4.664 0.000 0.000 0.000 4.664" Properties=species:S:1:pos:R:3 pbc="T T T"
Pb 0.000 0.000 2.332
Pb 0.000 2.332 0.000
Sb 2.432 2.332 2.332
Li 2.432 0.000 0.000
```

Results
The raw total energy is -47.974 eV/atom. The space group is No. 123. The magnetization comes out at 0.00 μB/f.u. As for the uncorrected formation energy: -0.171 eV/atom.

---

# 12
The following is a meta-GGA SCAN calculation of Y2PbAu at its PBEsol-relaxed geometry, from Alexandria.

Cell and atoms, written as extended XYZ:
```
4
Lattice="-0.033 -3.320 1.288 3.097 -0.663 -1.628 4.080 2.565 6.716" Properties=species:S:1:pos:R:3 pbc="T T T"
Pb 4.467 -0.147 4.661
Au 1.997 1.255 3.288
Y 4.020 2.527 6.617
Y 2.780 -1.207 1.885
```

Results
The raw total energy is -50.688 eV/atom. The space group is No. 99. The magnetization comes out at 0.85 μB/f.u.

---

- What is the raw total energy in the tenth record?
  -38.829 eV/atom

---

- raw total energy of number 12 (Y2PbAu)?
  -50.688 eV/atom

---

- Look up the magnetization of the sixth one.
  0.00 μB/f.u.

---

- magnetization of number 2 (HfInCo3)?
  2.32 μB/f.u.